(1)
The following is a DFT calculation (GGA-PBE) of crystalline CaBrO2 at its relaxed geometry.

```
CaBrO2
1.0
-1.199 4.130 -3.762
-5.861 -4.061 -2.709
-1.638 3.670 1.904
Ca Br O
2 2 4
Cartesian
-3.232 4.402 -2.707
-4.796 1.180 -3.021
-1.725 4.427 -0.226
-4.313 2.391 0.012
-3.028 2.414 -3.931
-4.153 -1.968 -1.424
-4.958 3.092 -1.681
-3.464 1.108 -0.786
```

Uncorrected formation energy, eV per atom: -1.446
Energy above the most stable polymorph in this dataset, meV per atom: 12

***

(2)
The following is a DFT calculation (GGA-PBE) of crystalline EuErTlHg at its relaxed geometry.

```
EuErTlHg
1.0
-1.018 -4.975 1.881
4.001 -2.958 2.138
0.111 -0.955 5.329
Eu Tl Hg Er
1 1 1 1
Cartesian
0.773 -2.222 2.337
0.000 0.000 0.000
1.547 -4.443 4.674
2.320 -6.665 7.011
```

E, eV/atom: -4.797

***

(3)
The following is a DFT calculation (GGA-PBE) of crystalline KBaRh2 at its relaxed geometry.

```
KBaRh2
1.0
-0.123 3.495 2.959
-4.472 0.530 -0.811
-0.972 -2.943 3.436
Ba K Rh
1 1 2
Cartesian
-0.547 0.276 3.197
-2.722 -1.207 1.312
0.000 0.000 0.000
-2.297 2.012 1.074
```

Energy above the most stable polymorph in this dataset, meV per atom: 466

***

(4)
The following is a DFT calculation (GGA-PBE) of crystalline MgZrZnO4 at its relaxed geometry.

```
MgZrZnO4
1.0
-5.717 1.583 1.437
-1.599 0.552 5.993
-1.115 5.699 2.248
Mg Zr Zn O
2 2 2 8
Cartesian
-3.416 3.641 1.843
-0.557 2.850 1.124
0.000 0.000 0.000
-1.357 3.126 4.121
-4.752 1.984 4.833
-3.678 5.850 4.845
-6.366 5.726 7.254
-3.440 5.039 6.688
-4.990 2.796 2.991
-2.065 2.109 2.424
-2.794 2.230 5.423
-5.850 3.076 6.192
-2.580 4.759 3.486
-5.637 5.605 4.255
```

Uncorrected formation energy, eV per atom: -2.553

***

(5)
The following is a DFT calculation (GGA-PBE) of crystalline RbLi2Tl2 at its relaxed geometry.

```
RbLi2Tl2
1.0
-1.949 2.095 8.689
-8.769 1.272 -2.274
-0.624 -3.183 0.627
Tl Rb Li
4 2 4
Cartesian
-6.070 -0.524 -0.001
-9.182 0.833 3.789
-5.273 0.708 7.044
-2.160 -0.649 3.254
0.000 0.000 0.000
-5.359 1.683 3.208
-8.067 1.792 1.067
-7.401 2.602 5.837
-2.652 1.574 5.349
-3.317 0.765 0.579
```

Energy above the most stable polymorph in this dataset, meV per atom: 0

***

(6)
The following is a DFT calculation (GGA-PBE) of crystalline YFe3Pt at its relaxed geometry.

```
YFe3Pt
1.0
-1.731 2.672 3.249
-3.930 0.227 -2.280
-1.501 -3.675 2.222
Y Fe Pt
1 3 1
Cartesian
0.000 0.000 0.000
-1.965 0.113 -1.140
-0.750 -1.837 1.111
-0.865 1.336 1.625
-3.581 -0.388 1.596
```

Energy above the most stable polymorph in this dataset, meV per atom: 1222

***

(7)
The following is a DFT calculation (GGA-PBE) of crystalline Tm2CdGe at its relaxed geometry.

```
Tm2CdGe
1.0
-2.474 0.665 -2.679
0.952 -0.447 -3.554
-3.094 -8.169 -1.735
Ge Tm Cd
1 2 1
Cartesian
0.000 0.000 0.000
-3.537 -6.202 -5.966
-1.079 -1.749 -2.002
-2.308 -3.975 -3.984
```

E, eV/atom: -3.989

***

(8)
The following is a DFT calculation (GGA-PBE) of crystalline AcSmS at its relaxed geometry.

```
AcSmS
1.0
6.861 0.000 0.000
0.000 4.052 0.000
0.000 -2.026 3.509
Ac S Sm
1 1 1
Cartesian
5.053 2.026 1.170
0.115 0.000 0.000
1.693 0.000 2.340
```

Uncorrected formation energy, eV per atom: -1.188
Energy above the most stable polymorph in this dataset, meV per atom: 0

***

no.,magnetic moment (μB per formula unit)
1,0.000
2,7.152
3,0.520
4,0.000
5,0.000
6,6.967
7,0.000
8,0.002